Computed, not measured: an optimized crystal structure of HfScRu at the PBE-GGA level of DFT.

Values from the calculation:
Space group: I4mm (107)
Calculated total energy: -8.949 eV/atom
ΔH_f (0 K): -0.43 eV/atom

Cell lengths 3.2588, 3.2588, 10.7920 Å; angles 90.00, 90.00, 90.00 degrees
Last column: nearest neighbours and their distance in Å.
Sites, in units of the cell vectors:
Ru  0.0000  0.0000  0.6431  4 Hf 2.75, 4 Sc 2.84
Ru  0.5000  0.5000  0.1431  4 Hf 2.75, 4 Sc 2.84
Hf  0.5000  0.5000  0.7815  4 Ru 2.75
Sc  0.0000  0.0000  0.9898  4 Ru 2.84, 1 Hf 3.15
Sc  0.5000  0.5000  0.4898  4 Ru 2.84, 1 Hf 3.15
Hf  0.0000  0.0000  0.2815  4 Ru 2.75



Computed, not measured: an optimized crystal structure of TmHf2Al9 at the PBE-GGA level of DFT.

Values from the calculation:
Space group: P4/mmm (123)
Calculated total energy: -5.224 eV/atom
ΔH_f (0 K): -0.39 eV/atom

Cell lengths 4.1339, 4.1339, 12.4073 Å; angles 90.00, 90.00, 90.00 degrees
Last column: nearest neighbours and their distance in Å.
Sites, in units of the cell vectors:
Tm  0.0000  0.0000  0.0000  12 Al 2.92-2.98
Al  0.5000  0.5000  0.3364  8 Al 2.89-2.90, 4 Hf 2.92
Al  0.0000  0.5000  0.1730  2 Hf 2.88, 8 Al 2.89-2.98, 2 Tm 2.98
Al  0.5000  0.0000  0.5000  8 Al 2.90-2.92, 4 Hf 2.91
Al  0.0000  0.5000  0.8270  2 Hf 2.88, 8 Al 2.89-2.98, 2 Tm 2.98
Al  0.5000  0.5000  0.6636  8 Al 2.89-2.90, 4 Hf 2.92
Al  0.5000  0.0000  0.1730  2 Hf 2.88, 8 Al 2.89-2.98, 2 Tm 2.98
Al  0.5000  0.5000  0.0000  4 Tm 2.92, 8 Al 2.98
Al  0.0000  0.5000  0.5000  8 Al 2.90-2.92, 4 Hf 2.91
Hf  0.0000  0.0000  0.6649  12 Al 2.88-2.92
Al  0.5000  0.0000  0.8270  2 Hf 2.88, 8 Al 2.89-2.98, 2 Tm 2.98
Hf  0.0000  0.0000  0.3351  12 Al 2.88-2.92



Computed, not measured: an optimized crystal structure of CoReW2 at the PBE-GGA level of DFT.

Values from the calculation:
Space group: Pmm2 (25)
Calculated total energy: -11.132 eV/atom
ΔH_f (0 K): 0.23 eV/atom

Cell lengths 2.6635, 3.8839, 5.6902 Å; angles 90.00, 90.00, 90.00 degrees
Last column: nearest neighbours and their distance in Å.
Sites, in units of the cell vectors:
Co  0.0000  0.0000  0.5036  2 Co 2.66, 4 Re 2.68, 6 W 2.69-2.91
W  0.0000  0.0000  0.9929  6 W 2.66-2.85, 2 Co 2.78-2.91, 4 Re 2.79
W  0.5000  0.5000  0.2739  1 Re 2.59, 6 W 2.66-2.85, 4 Co 2.69
Re  0.5000  0.5000  0.7296  5 W 2.59-2.79, 2 Re 2.66, 4 Co 2.68



Computed, not measured: an optimized crystal structure of Pu2PaGa at the PBE-GGA level of DFT.

Values from the calculation:
Space group: I4/mmm (139)
Calculated total energy: -10.429 eV/atom
ΔH_f (0 K): -0.13 eV/atom

Cell lengths 4.4307, 4.4307, 5.5240 Å; angles 113.64, 113.64, 90.01 degrees
Last column: nearest neighbours and their distance in Å.
Sites, in units of the cell vectors:
Ga  0.5000  0.5000  0.0000  4 Pa 3.13, 8 Pu 3.18
Pu  0.2500  0.7500  0.5000  4 Pu 3.13, 4 Pa 3.18, 4 Ga 3.18
Pu  0.7500  0.2500  0.5000  4 Pu 3.13, 4 Ga 3.18, 4 Pa 3.18
Pa  0.0000  0.0000  0.0000  4 Ga 3.13, 8 Pu 3.18



Computed, not measured: an optimized crystal structure of Zn8Ga6Ag at the PBE-GGA level of DFT.

Values from the calculation:
Space group: R-3 (148)
Calculated total energy: -2.020 eV/atom
ΔH_f (0 K): 0.06 eV/atom

Cell lengths 6.4650, 6.4650, 6.4650 Å; angles 83.05, 83.05, 83.05 degrees
Last column: nearest neighbours and their distance in Å.
Sites, in units of the cell vectors:
Zn  0.3910  0.0549  0.8431  3 Ga 2.59-2.84, 2 Zn 2.59-2.80, 1 Ag 2.66
Ga  0.4403  0.5800  0.2004  4 Zn 2.59-2.89, 5 Ga 2.85-2.89
Zn  0.8431  0.3910  0.0549  3 Ga 2.59-2.84, 2 Zn 2.59-2.80, 1 Ag 2.66
Zn  0.9451  0.1569  0.6090  3 Ga 2.59-2.84, 2 Zn 2.59-2.80, 1 Ag 2.66
Zn  0.2167  0.2167  0.2167  1 Ag 2.70, 6 Zn 2.80-2.92, 3 Ga 2.89
Zn  0.1569  0.6090  0.9451  3 Ga 2.59-2.84, 2 Zn 2.59-2.80, 1 Ag 2.66
Ga  0.4200  0.7996  0.5597  4 Zn 2.59-2.89, 5 Ga 2.85-2.89
Zn  0.6090  0.9451  0.1569  3 Ga 2.59-2.84, 2 Zn 2.59-2.80, 1 Ag 2.66
Ga  0.2004  0.4403  0.5800  4 Zn 2.59-2.89, 5 Ga 2.85-2.89
Ga  0.5597  0.4200  0.7996  4 Zn 2.59-2.89, 5 Ga 2.85-2.89
Ag  0.0000  0.0000  0.0000  8 Zn 2.66-2.70
Ga  0.7996  0.5597  0.4200  4 Zn 2.59-2.89, 5 Ga 2.85-2.89
Zn  0.0549  0.8431  0.3910  3 Ga 2.59-2.84, 2 Zn 2.59-2.80, 1 Ag 2.66
Ga  0.5800  0.2004  0.4403  4 Zn 2.59-2.89, 5 Ga 2.85-2.89
Zn  0.7833  0.7833  0.7833  1 Ag 2.70, 6 Zn 2.80-2.92, 3 Ga 2.89



Computed, not measured: an optimized crystal structure of Gd2PPb at the PBE-GGA level of DFT.

Values from the calculation:
Space group: R-3m (166)
Calculated total energy: -10.369 eV/atom
ΔH_f (0 K): -1.05 eV/atom

Cell lengths 3.9737, 3.9737, 8.3097 Å; angles 76.17, 76.17, 60.00 degrees
Last column: nearest neighbours and their distance in Å.
Sites, in units of the cell vectors:
P  0.0000  0.0000  0.0000  6 Gd 2.79
Gd  0.7332  0.7332  0.8003  3 P 2.79
Pb  0.5000  0.5000  0.5000  6 Gd 3.32
Gd  0.2668  0.2668  0.1997  3 P 2.79



Computed, not measured: an optimized crystal structure of PmDy4In5 at the PBE-GGA level of DFT.

Values from the calculation:
Space group: P4/mmm (123)
Calculated total energy: -4.158 eV/atom
ΔH_f (0 K): -0.47 eV/atom

Cell lengths 3.7683, 3.7683, 18.9800 Å; angles 90.00, 90.00, 90.00 degrees
Last column: nearest neighbours and their distance in Å.
Sites, in units of the cell vectors:
In  0.5000  0.5000  0.1060  4 Dy 3.25, 4 Pm 3.34
In  0.5000  0.5000  0.5000  8 Dy 3.26
Pm  0.0000  0.0000  0.0000  8 In 3.34
In  0.5000  0.5000  0.6971  8 Dy 3.26
In  0.5000  0.5000  0.3029  8 Dy 3.26
Dy  0.0000  0.0000  0.4015  8 In 3.26
Dy  0.0000  0.0000  0.2042  8 In 3.25-3.26
Dy  0.0000  0.0000  0.7958  8 In 3.25-3.26
Dy  0.0000  0.0000  0.5985  8 In 3.26
In  0.5000  0.5000  0.8940  4 Dy 3.25, 4 Pm 3.34



Computed, not measured: an optimized crystal structure of ZrSb2Os at the PBE-GGA level of DFT.

Values from the calculation:
ΔE_f (raw): -0.04 eV/atom
Space group: Immm (71)
Calculated total energy: -7.047 eV/atom

Cell lengths 7.1063, 7.1063, 7.1063 Å; angles 151.58, 144.44, 46.13 degrees
Last column: nearest neighbours and their distance in Å.
Sites, in units of the cell vectors:
Zr  0.7500  0.2500  0.5000  4 Os 2.78, 4 Sb 3.06
Sb  0.4147  0.4147  0.0000  2 Os 2.77, 2 Zr 3.06
Sb  0.0853  0.0853  0.0000  2 Os 2.77, 2 Zr 3.06
Os  0.2500  0.7500  0.5000  4 Sb 2.77, 4 Zr 2.78



Computed, not measured: an optimized crystal structure of TeRu2Pt at the PBE-GGA level of DFT.

Values from the calculation:
ΔE_f (raw): 0.27 eV/atom
Space group: Cmmm (65)
Calculated total energy: -6.663 eV/atom

Cell lengths 4.6510, 4.6510, 3.0510 Å; angles 90.00, 90.00, 101.99 degrees
Last column: nearest neighbours and their distance in Å.
Sites, in units of the cell vectors:
Ru  0.0000  0.0000  0.0000  4 Te 2.78, 4 Pt 2.78, 4 Ru 2.93-3.05
Te  0.5000  0.0000  0.5000  8 Ru 2.78, 2 Pt 2.93, 2 Te 3.05
Ru  0.5000  0.5000  0.0000  4 Pt 2.78, 4 Te 2.78, 4 Ru 2.93-3.05
Pt  0.0000  0.5000  0.5000  8 Ru 2.78, 2 Te 2.93, 2 Pt 3.05



Computed, not measured: an optimized crystal structure of PmGa12Ag6 at the PBE-GGA level of DFT.

Values from the calculation:
Space group: R-3m (166)
Calculated total energy: -3.099 eV/atom
ΔH_f (0 K): -0.04 eV/atom

Cell lengths 7.4269, 7.4269, 7.4269 Å; angles 102.97, 102.97, 102.97 degrees
Last column: nearest neighbours and their distance in Å.
Sites, in units of the cell vectors:
Ag  0.6969  0.6969  0.2808  6 Ga 2.63-2.91
Ga  0.6254  0.8662  0.6254  4 Ag 2.78-2.91, 4 Ga 2.80-2.83
Ga  0.1063  0.5000  0.8937  1 Ga 2.47, 2 Ag 2.63
Ag  0.3031  0.3031  0.7192  6 Ga 2.63-2.91
Ga  0.3746  0.3746  0.1338  4 Ag 2.78-2.91, 4 Ga 2.80-2.83
Ga  0.8937  0.5000  0.1063  1 Ga 2.47, 2 Ag 2.63
Ga  0.8937  0.1063  0.5000  1 Ga 2.47, 2 Ag 2.63
Ag  0.2808  0.6969  0.6969  6 Ga 2.63-2.91
Ga  0.8662  0.6254  0.6254  4 Ag 2.78-2.91, 4 Ga 2.80-2.83
Ga  0.5000  0.1063  0.8937  1 Ga 2.47, 2 Ag 2.63
Pm  0.0000  0.0000  0.0000  6 Ga 3.24
Ga  0.5000  0.8937  0.1063  1 Ga 2.47, 2 Ag 2.63
Ga  0.3746  0.1338  0.3746  4 Ag 2.78-2.91, 4 Ga 2.80-2.83
Ga  0.1063  0.8937  0.5000  1 Ga 2.47, 2 Ag 2.63
Ga  0.1338  0.3746  0.3746  4 Ag 2.78-2.91, 4 Ga 2.80-2.83
Ga  0.6254  0.6254  0.8662  4 Ag 2.78-2.91, 4 Ga 2.80-2.83
Ag  0.6969  0.2808  0.6969  6 Ga 2.63-2.91
Ag  0.7192  0.3031  0.3031  6 Ga 2.63-2.91
Ag  0.3031  0.7192  0.3031  6 Ga 2.63-2.91



Computed, not measured: an optimized crystal structure of InMoPb2 at the PBE-GGA level of DFT.

Values from the calculation:
Space group: Imm2 (44)
Calculated total energy: -4.803 eV/atom
ΔH_f (0 K): 0.44 eV/atom

Cell lengths 7.5598, 7.5598, 4.8544 Å; angles 71.26, 71.26, 23.69 degrees
Last column: nearest neighbours and their distance in Å.
Sites, in units of the cell vectors:
Pb  0.9364  0.9364  0.0633  2 Mo 3.05, 2 Pb 3.10, 4 In 3.41
Mo  0.2486  0.2486  0.2513  6 Pb 2.88-3.05, 2 In 2.98, 2 Mo 3.10
In  0.5669  0.5669  0.4335  2 Mo 2.98, 2 In 3.10
Pb  0.7481  0.7481  0.7518  4 Mo 2.88, 2 Pb 3.10



Computed, not measured: an optimized crystal structure of Cs3LiNi at the PBE-GGA level of DFT.

Values from the calculation:
Space group: Pm-3m (221)
Calculated total energy: -1.562 eV/atom
ΔH_f (0 K): 0.49 eV/atom

Cell lengths 6.7632, 6.7632, 6.7632 Å; angles 90.00, 90.00, 90.00 degrees
Last column: nearest neighbours and their distance in Å.
Sites, in units of the cell vectors:
Ni  0.0000  0.0000  0.0000  6 Cs 3.38
Cs  0.0000  0.0000  0.5000  2 Ni 3.38
Cs  0.0000  0.5000  0.0000  2 Ni 3.38
Li  0.5000  0.5000  0.5000  12 Cs 4.78
Cs  0.5000  0.0000  0.0000  2 Ni 3.38